Computed, not measured: a relaxed structure of Rb2C at the PBE level of DFT.

Lattice parameters (Å, degrees): 7.6017 7.6017 8.0849 90.00 90.00 90.00
Space group I4/mcm (No. 140)
Unique sites:
Rb  0.2375  0.2625  0.0000
C  0.0000  0.0000  0.2500

Results
relative energy among the computed polymorphs: 94.3 meV per atom
DOS(E_F): 0.32 states/eV per atom
energy of formation from the pure elements: 1.5193 eV/atom
E: -26.40 eV for the cell shown

***

Computed, not measured: a relaxed structure of Rb7C5 at the PBE level of DFT.

Lattice parameters (Å, degrees): 8.9910 8.9910 15.0971 90.00 90.00 90.00
Space group I4mm (No. 107)
Unique sites:
Rb  0.0000  0.0000  0.0000
Rb  0.0000  0.2879  0.6767
Rb  0.0000  0.5000  0.4561
C  0.0000  0.0000  0.7762
C  0.2445  0.2445  0.0460

Results
DOS(E_F): 0.15 states/eV per atom
energy of formation from the pure elements: 2.0467 eV/atom
E: -56.66 eV for the cell shown

***

Computed, not measured: a relaxed structure of RbC at the PBE level of DFT.

Lattice parameters (Å, degrees): 11.4088 11.4088 2.8076 90.00 90.00 90.00
Space group P4/m (No. 83)
Unique sites:
Rb  0.0006  0.2687  0.0000
Rb  0.3321  0.6657  0.5000
C  0.0677  0.5000  0.5000
C  0.1288  0.5000  0.0000

Results
relative energy among the computed polymorphs: 608.6 meV per atom
DOS(E_F): 0.38 states/eV per atom
energy of formation from the pure elements: 0.9027 eV/atom
E: -67.09 eV for the cell shown

***

Computed, not measured: a relaxed structure of RbC at the PBE level of DFT.

Lattice parameters (Å, degrees): 7.6803 7.6803 4.4357 90.00 90.00 120.00
Space group P6/mmm (No. 191)
Unique sites:
Rb  0.0000  0.0000  0.0000
Rb  0.3333  0.6667  0.5000
C  0.0000  0.5000  0.0000

Results
relative energy among the computed polymorphs: 2207.0 meV per atom
DOS(E_F): 0.58 states/eV per atom
energy of formation from the pure elements: 2.5011 eV/atom
E: -15.57 eV for the cell shown